Below is a relaxed DyZn11Ga crystal, with properties calculated at the GGA-PBE level.

abc: 6.809 6.809 6.795
angles: 98.54 98.54 134.58
Sites, in units of the cell vectors:
Dy 0.000 0.000 0.000
Zn 0.000 0.000 0.500
Zn 0.000 0.500 0.000
Zn 0.010 0.652 0.647
Zn 0.279 0.496 0.786
Zn 0.348 0.990 0.353
Zn 0.496 0.279 0.786
Zn 0.500 0.000 0.000
Zn 0.504 0.721 0.214
Zn 0.652 0.010 0.647
Zn 0.721 0.504 0.214
Zn 0.990 0.348 0.353
Ga 0.500 0.500 0.500

Output
D(E_F) = 0.1869 states/eV/atom
VASP energy = -1.82 eV/atom
Crystal system = monoclinic
Space group = C2/m, No. 12
Energy of formation = -0.16 eV/atom